No. 1
A relaxed structure of Ti6Zn5Fe. Source: Alexandria, functional GGA-PBE.

The structure in CIF format:
```
data_Ti6Zn5Fe
_chemical_formula_sum 'Ti12 Zn10 Fe2'
_cell_length_a 4.403
_cell_length_b 6.275
_cell_length_c 13.114
_cell_angle_alpha 90.00
_cell_angle_beta 90.00
_cell_angle_gamma 90.00
_space_group_name_H-M_alt 'I m m m'
_space_group_IT_number 71
_space_group_name_Hall '-I 2 2'
loop_
_atom_site_label
_atom_site_type_symbol
_atom_site_fract_x
_atom_site_fract_y
_atom_site_fract_z
_atom_site_occupancy
Ti1 Ti 0.000 0.236 0.000 1
Ti2 Ti 0.000 0.262 0.342 1
Zn1 Zn 0.000 0.000 0.178 1
Zn2 Zn 0.000 0.000 0.500 1
Zn3 Zn 0.000 0.500 0.167 1
Fe1 Fe 0.000 0.500 0.500 1
```

## Properties
E_tot: -5.39 eV/atom
size of the total moment: 0.00 Bohr magnetons per cell
energy of formation: -0.2026 eV/atom
calculated volume: 362 Å³/cell

No. 2
A relaxed structure of Ti5ZnFe4. Source: Alexandria, functional GGA-PBE.

The structure in CIF format:
```
data_Ti5ZnFe4
_chemical_formula_sum 'Ti5 Zn1 Fe4'
_cell_length_a 2.961
_cell_length_b 2.961
_cell_length_c 15.280
_cell_angle_alpha 90.00
_cell_angle_beta 90.00
_cell_angle_gamma 90.00
_space_group_name_H-M_alt 'P 4/m m m'
_space_group_IT_number 123
_space_group_name_Hall '-P 4 2'
loop_
_atom_site_label
_atom_site_type_symbol
_atom_site_fract_x
_atom_site_fract_y
_atom_site_fract_z
_atom_site_occupancy
Ti1 Ti 0.000 0.000 0.000 1
Ti2 Ti 0.000 0.000 0.193 1
Ti3 Ti 0.000 0.000 0.386 1
Zn1 Zn 0.500 0.500 0.500 1
Fe1 Fe 0.500 0.500 0.097 1
Fe2 Fe 0.500 0.500 0.291 1
```

## Properties
E_tot: -7.81 eV/atom
size of the total moment: 0.00 Bohr magnetons per cell
energy of formation: -0.3546 eV/atom
calculated volume: 134 Å³/cell

No. 3
A relaxed structure of TiZn4Fe. Source: Alexandria, functional GGA-PBE.

The structure in CIF format:
```
data_TiZn4Fe
_chemical_formula_sum 'Ti2 Zn8 Fe2'
_cell_length_a 4.717
_cell_length_b 2.741
_cell_length_c 13.508
_cell_angle_alpha 90.00
_cell_angle_beta 96.42
_cell_angle_gamma 90.00
_space_group_name_H-M_alt 'C 1 2/m 1'
_space_group_IT_number 12
loop_
_space_group_symop_operation_xyz
'x,y,z'
'-x,-y,-z'
'-x,y,-z'
'x,-y,z'
'x+1/2,y+1/2,z'
'-x+1/2,-y+1/2,-z'
'-x+1/2,y+1/2,-z'
'x+1/2,-y+1/2,z'
loop_
_atom_site_label
_atom_site_type_symbol
_atom_site_fract_x
_atom_site_fract_y
_atom_site_fract_z
_atom_site_occupancy
Ti1 Ti 0.000 0.000 0.000 1
Zn1 Zn 0.107 0.500 0.824 1
Zn2 Zn 0.115 0.000 0.345 1
Fe1 Fe 0.000 0.500 0.500 1
```

## Properties
E_tot: -3.57 eV/atom
size of the total moment: 4.52 Bohr magnetons per cell
energy of formation: 0.0031 eV/atom
calculated volume: 174 Å³/cell

No. 4
A relaxed structure of TiZn2Fe2. Source: Alexandria, functional GGA-PBE.

The structure in CIF format:
```
data_TiZn2Fe2
_chemical_formula_sum 'Ti2 Zn4 Fe4'
_cell_length_a 6.783
_cell_length_b 6.783
_cell_length_c 2.844
_cell_angle_alpha 90.00
_cell_angle_beta 90.00
_cell_angle_gamma 90.00
_space_group_name_H-M_alt 'P 4/m b m'
_space_group_IT_number 127
_space_group_name_Hall '-P 4 2ab'
loop_
_atom_site_label
_atom_site_type_symbol
_atom_site_fract_x
_atom_site_fract_y
_atom_site_fract_z
_atom_site_occupancy
Ti1 Ti 0.000 0.000 0.000 1
Zn1 Zn 0.126 0.374 0.000 1
Fe1 Fe 0.174 0.674 0.500 1
```

## Properties
E_tot: -5.30 eV/atom
size of the total moment: 0.00 Bohr magnetons per cell
energy of formation: 0.1775 eV/atom
calculated volume: 131 Å³/cell

No. 5
A relaxed structure of TiZn2Fe2. Source: Alexandria, functional GGA-PBE.

The structure in CIF format:
```
data_TiZn2Fe2
_chemical_formula_sum 'Ti2 Zn4 Fe4'
_cell_length_a 3.509
_cell_length_b 3.509
_cell_length_c 11.805
_cell_angle_alpha 90.00
_cell_angle_beta 90.00
_cell_angle_gamma 90.00
_space_group_name_H-M_alt 'I 4/m m m'
_space_group_IT_number 139
_space_group_name_Hall '-I 4 2'
loop_
_atom_site_label
_atom_site_type_symbol
_atom_site_fract_x
_atom_site_fract_y
_atom_site_fract_z
_atom_site_occupancy
Ti1 Ti 0.000 0.000 0.000 1
Zn1 Zn 0.000 0.500 0.250 1
Fe1 Fe 0.000 0.000 0.409 1
```

## Properties
E_tot: -5.30 eV/atom
size of the total moment: 7.06 Bohr magnetons per cell
energy of formation: 0.1781 eV/atom
calculated volume: 145 Å³/cell

No. 6
A relaxed structure of Ti3ZnFe. Source: Alexandria, functional GGA-PBE.

The structure in CIF format:
```
data_Ti3ZnFe
_chemical_formula_sum 'Ti3 Zn1 Fe1'
_cell_length_a 4.478
_cell_length_b 4.478
_cell_length_c 4.478
_cell_angle_alpha 90.00
_cell_angle_beta 90.00
_cell_angle_gamma 90.00
_space_group_name_H-M_alt 'P m -3 m'
_space_group_IT_number 221
_space_group_name_Hall '-P 4 2 3'
loop_
_atom_site_label
_atom_site_type_symbol
_atom_site_fract_x
_atom_site_fract_y
_atom_site_fract_z
_atom_site_occupancy
Ti1 Ti 0.000 0.000 0.500 1
Zn1 Zn 0.500 0.500 0.500 1
Fe1 Fe 0.000 0.000 0.000 1
```

## Properties
E_tot: -6.39 eV/atom
size of the total moment: 1.20 Bohr magnetons per cell
energy of formation: 0.2912 eV/atom
calculated volume: 90 Å³/cell

No. 7
A relaxed structure of TiZn2Fe. Source: Alexandria, functional GGA-PBE.

The structure in CIF format:
```
data_TiZn2Fe
_chemical_formula_sum 'Ti1 Zn2 Fe1'
_cell_length_a 3.628
_cell_length_b 3.628
_cell_length_c 4.199
_cell_angle_alpha 90.00
_cell_angle_beta 90.00
_cell_angle_gamma 90.00
_space_group_name_H-M_alt 'P 4/m m m'
_space_group_IT_number 123
_space_group_name_Hall '-P 4 2'
loop_
_atom_site_label
_atom_site_type_symbol
_atom_site_fract_x
_atom_site_fract_y
_atom_site_fract_z
_atom_site_occupancy
Ti1 Ti 0.000 0.000 0.000 1
Zn1 Zn 0.000 0.500 0.500 1
Fe1 Fe 0.500 0.500 0.000 1
```

## Properties
E_tot: -4.83 eV/atom
size of the total moment: 1.02 Bohr magnetons per cell
energy of formation: -0.1076 eV/atom
calculated volume: 55 Å³/cell

No. 8
A relaxed structure of TiZn4Fe. Source: Alexandria, functional GGA-PBE.

The structure in CIF format:
```
data_TiZn4Fe
_chemical_formula_sum 'Ti4 Zn16 Fe4'
_cell_length_a 6.977
_cell_length_b 6.977
_cell_length_c 6.977
_cell_angle_alpha 90.00
_cell_angle_beta 90.00
_cell_angle_gamma 90.00
_space_group_name_H-M_alt 'F -4 3 m'
_space_group_IT_number 216
_space_group_name_Hall 'F -4 2 3'
loop_
_atom_site_label
_atom_site_type_symbol
_atom_site_fract_x
_atom_site_fract_y
_atom_site_fract_z
_atom_site_occupancy
Ti1 Ti 0.000 0.000 0.000 1
Zn1 Zn 0.125 0.125 0.625 1
Fe1 Fe 0.250 0.250 0.250 1
```

## Properties
E_tot: -3.61 eV/atom
size of the total moment: 1.26 Bohr magnetons per cell
energy of formation: -0.0299 eV/atom
calculated volume: 340 Å³/cell

No. 9
A relaxed structure of TiZn2Fe. Source: Alexandria, functional GGA-PBE.

The structure in CIF format:
```
data_TiZn2Fe
_chemical_formula_sum 'Ti1 Zn2 Fe1'
_cell_length_a 3.121
_cell_length_b 3.121
_cell_length_c 5.806
_cell_angle_alpha 90.00
_cell_angle_beta 90.00
_cell_angle_gamma 90.00
_space_group_name_H-M_alt 'P 4/m m m'
_space_group_IT_number 123
_space_group_name_Hall '-P 4 2'
loop_
_atom_site_label
_atom_site_type_symbol
_atom_site_fract_x
_atom_site_fract_y
_atom_site_fract_z
_atom_site_occupancy
Ti1 Ti 0.000 0.000 0.000 1
Zn1 Zn 0.500 0.500 0.273 1
Fe1 Fe 0.000 0.000 0.500 1
```

## Properties
E_tot: -4.75 eV/atom
size of the total moment: 2.44 Bohr magnetons per cell
energy of formation: -0.0193 eV/atom
calculated volume: 57 Å³/cell

No. 10
A relaxed structure of Ti6ZnFe. Source: Alexandria, functional GGA-PBE.

The structure in CIF format:
```
data_Ti6ZnFe
_chemical_formula_sum 'Ti12 Zn2 Fe2'
_cell_length_a 4.241
_cell_length_b 4.241
_cell_length_c 13.932
_cell_angle_alpha 90.00
_cell_angle_beta 90.00
_cell_angle_gamma 90.00
_space_group_name_H-M_alt 'I 4/m m m'
_space_group_IT_number 139
_space_group_name_Hall '-I 4 2'
loop_
_atom_site_label
_atom_site_type_symbol
_atom_site_fract_x
_atom_site_fract_y
_atom_site_fract_z
_atom_site_occupancy
Ti1 Ti 0.000 0.000 0.250 1
Ti2 Ti 0.000 0.500 0.114 1
Zn1 Zn 0.000 0.000 0.000 1
Fe1 Fe 0.000 0.000 0.500 1
```

## Properties
E_tot: -7.23 eV/atom
size of the total moment: 0.00 Bohr magnetons per cell
energy of formation: -0.0917 eV/atom
calculated volume: 251 Å³/cell